1.
Crystalline La3ErTm3S8 at its relaxed geometry. Source: Alexandria, functional PBE.

* raw formation energy: -2.091 eV/atom
* spin magnetization: 0.000 μB/cell

```
La3ErTm3S8
1.0
3.9328 2.2706 6.6809
-3.9328 2.2706 6.6809
0.0000 -4.5413 6.6809
La Er Tm S
3 1 3 8
direct
0.0000 0.5000 0.5000
0.5000 0.0000 0.5000
0.5000 0.5000 0.0000
0.5000 0.5000 0.5000
0.0000 0.0000 0.5000
0.0000 0.5000 0.0000
0.5000 0.0000 0.0000
0.2389 0.7441 0.7441
0.2415 0.2415 0.2415
0.2559 0.2559 0.7611
0.2559 0.7611 0.2559
0.7441 0.2389 0.7441
0.7441 0.7441 0.2389
0.7585 0.7585 0.7585
0.7611 0.2559 0.2559
```

2.
Crystalline ThNiRu2 at its relaxed geometry. Source: Alexandria, functional PBE.

* ΔE to the lowest computed polymorph: 0 meV per atom
* energy of formation: -0.56 eV per formula unit
* spin magnetization: 0.000 μB/cell

```
ThNiRu2
1.0
4.1101 0.0000 0.0000
0.0000 4.1101 0.0000
0.0000 0.0000 3.9944
Th Ni Ru
1 1 2
direct
0.0000 0.0000 0.0000
0.5000 0.5000 0.0000
0.0000 0.5000 0.5000
0.5000 0.0000 0.5000
```

3.
Crystalline CaPrSi2Pt5 at its relaxed geometry. Source: Alexandria, functional PBE.

* raw formation energy: -0.964 eV/atom
* spin magnetization: 0.000 μB/cell

```
CaPrSi2Pt5
1.0
4.2252 0.0000 0.0000
0.0000 4.2252 0.0000
0.0000 0.0000 9.1467
Ca Pr Si Pt
1 1 2 5
direct
0.0000 0.0000 0.0000
0.0000 0.0000 0.5000
0.5000 0.5000 0.1315
0.5000 0.5000 0.8685
0.0000 0.5000 0.2601
0.0000 0.5000 0.7399
0.5000 0.0000 0.2601
0.5000 0.0000 0.7399
0.5000 0.5000 0.5000
```

4.
Crystalline Re2Ir2W at its relaxed geometry. Source: Alexandria, functional PBE.

* ΔE to the lowest computed polymorph: 232 meV per atom
* energy of formation: 0.64 eV per formula unit
* spin magnetization: 0.000 μB/cell

```
Re2Ir2W
1.0
7.5489 0.0000 0.0000
0.0000 7.5489 0.0000
0.0000 0.0000 2.7380
Re Ir W
4 4 2
direct
0.1739 0.3261 0.0000
0.3261 0.8261 0.0000
0.6739 0.1739 0.0000
0.8261 0.6739 0.0000
0.1232 0.6232 0.5000
0.3768 0.1232 0.5000
0.6232 0.8768 0.5000
0.8768 0.3768 0.5000
0.0000 0.0000 0.5000
0.5000 0.5000 0.5000
```